## Li4Cr3Fe3O12 (PBE with a Hubbard U)

Data for a relaxed structure of Li4Cr3Fe3O12.

Cell lengths 5.105, 6.082, 7.835 Å; angles 78.75, 76.60, 73.57 degrees
Atoms (fractional coordinates):
Li1 0.507 0.843 0.661
Li2 0.493 0.157 0.339
Li3 0.997 0.337 0.164
Li4 0.003 0.663 0.836
Cr1 0.503 0.329 0.668
Cr2 0.497 0.671 0.332
Cr3 0.500 0.000 0.000
Fe1 0.000 0.500 0.500
Fe2 0.997 0.834 0.171
Fe3 0.003 0.166 0.829
O1 0.772 0.485 0.728
O2 0.256 0.632 0.578
O3 0.728 0.017 0.770
O4 0.744 0.368 0.422
O5 0.257 0.184 0.590
O6 0.228 0.515 0.272
O7 0.743 0.816 0.410
O8 0.749 0.137 0.078
O9 0.272 0.983 0.230
O10 0.256 0.306 0.912
O11 0.744 0.694 0.088
O12 0.251 0.863 0.922

Properties
N(E_F)	0.23	states/eV/cell
energy above the most stable polymorph in this dataset	0.00	eV/f.u.
total DFT energy (no corrections)	-6.56	eV per atom
volume	10.22	A^3/atom